a | Density functional theory data (PBE-GGA) for CuSe2NO after structural relaxation.

Geometry as CIF:
```
data_CuSe2NO
_space_group_name_H-M_alt 'P 4/m m m'
_space_group_IT_number 123
_space_group_name_Hall '-P 4 2'
_cell_length_a 4.4323
_cell_length_b 4.4323
_cell_length_c 3.8129
_cell_angle_alpha 90.00
_cell_angle_beta 90.00
_cell_angle_gamma 90.00
loop_
_atom_site_label
_atom_site_type_symbol
_atom_site_fract_x
_atom_site_fract_y
_atom_site_fract_z
Cu1 Cu 0.0000 0.0000 0.0000
Se1 Se 0.0000 0.5000 0.5000
N1 N 0.5000 0.5000 0.0000
O1 O 0.5000 0.5000 0.5000
```

Properties
- Volume: 74.9 Å³/f.u.

***

b | Density functional theory data (PBE-GGA) for CuSe2NO after structural relaxation.

Geometry as CIF:
```
data_CuSe2NO
_space_group_name_H-M_alt 'P 4/m m m'
_space_group_IT_number 123
_space_group_name_Hall '-P 4 2'
_cell_length_a 4.8888
_cell_length_b 4.8888
_cell_length_c 3.5063
_cell_angle_alpha 90.00
_cell_angle_beta 90.00
_cell_angle_gamma 90.00
loop_
_atom_site_label
_atom_site_type_symbol
_atom_site_fract_x
_atom_site_fract_y
_atom_site_fract_z
Cu1 Cu 0.0000 0.0000 0.0000
Se1 Se 0.0000 0.5000 0.0000
N1 N 0.0000 0.0000 0.5000
O1 O 0.5000 0.5000 0.5000
```

Properties
- Volume: 83.8 Å³/f.u.

***

Least stable: b